# PmErPd6 | Alexandria via LeMat-Bulk | PBE | relaxed
# ΔE_f, meV/atom: -842.5
# D(E_F), states/eV/cell: 5.79
# Space group: P4/mmm, No. 123
data_PmErPd6
_chemical_formula_sum 'Pm1 Er1 Pd6'
_cell_length_a 4.151
_cell_length_b 4.151
_cell_length_c 8.265
_cell_angle_alpha 90.00
_cell_angle_beta 90.00
_cell_angle_gamma 90.00
_symmetry_space_group_name_H-M 'P 1'
_symmetry_Int_Tables_number 1
loop_
_symmetry_equiv_pos_as_xyz
'x,y,z'
loop_
_atom_site_label
_atom_site_fract_x
_atom_site_fract_y
_atom_site_fract_z
Pm1 0.000 0.000 0.000
Er1 0.000 0.000 0.500
Pd1 0.000 0.500 0.256
Pd2 0.000 0.500 0.744
Pd3 0.500 0.000 0.256
Pd4 0.500 0.000 0.744
Pd5 0.500 0.500 0.000
Pd6 0.500 0.500 0.500